# La8SbRh3Br4 | the Alexandria database | PBE | optimized geometry
# Uncorrected formation energy, kJ/mol of atoms: -110.68
data_La8SbRh3Br4
_chemical_formula_sum 'La24 Sb3 Rh9 Br12'
_cell_length_a 8.6696
_cell_length_b 8.6696
_cell_length_c 23.2169
_cell_angle_alpha 90.00
_cell_angle_beta 90.00
_cell_angle_gamma 120.00
_symmetry_space_group_name_H-M 'R -3 m'
_symmetry_Int_Tables_number 166
_symmetry_space_group_name_Hall '-R 3 2"'
loop_
_atom_site_label
_atom_site_type_symbol
_atom_site_fract_x
_atom_site_fract_y
_atom_site_fract_z
La1 La 0.0000 0.0000 0.2334
La2 La 0.0247 0.5124 0.7649
Sb1 Sb 0.0000 0.0000 0.5000
Rh1 Rh 0.0000 0.5000 0.5000
Br1 Br 0.0000 0.0000 0.0000
Br2 Br 0.0000 0.5000 0.0000

---

# NpBiPb | the Alexandria database | PBE | optimized geometry
# Formation enthalpy at 0 K, eV/atom: 0.232
# Excess energy over the best structure of this formula in the dataset, eV/atom: 0.035
data_NpBiPb
_chemical_formula_sum 'Np1 Bi1 Pb1'
_cell_length_a 5.6110
_cell_length_b 5.6110
_cell_length_c 3.2520
_cell_angle_alpha 90.00
_cell_angle_beta 90.00
_cell_angle_gamma 120.00
_symmetry_space_group_name_H-M 'P 3 m 1'
_symmetry_Int_Tables_number 156
_symmetry_space_group_name_Hall 'P 3 -2"'
loop_
_atom_site_label
_atom_site_type_symbol
_atom_site_fract_x
_atom_site_fract_y
_atom_site_fract_z
Np1 Np 0.0000 0.0000 0.0000
Bi1 Bi 0.6667 0.3333 0.4939
Pb1 Pb 0.3333 0.6667 0.5066

---

# KRbAsSe2 | the Alexandria database | PBE | optimized geometry
# Uncorrected formation energy, kJ/mol of atoms: 43.77
# Excess energy over the best structure of this formula in the dataset, eV/atom: 0.985
data_KRbAsSe2
_chemical_formula_sum 'K1 Rb1 As1 Se2'
_cell_length_a 6.3323
_cell_length_b 6.3323
_cell_length_c 6.5076
_cell_angle_alpha 90.00
_cell_angle_beta 90.00
_cell_angle_gamma 90.00
_symmetry_space_group_name_H-M 'P 4/m m m'
_symmetry_Int_Tables_number 123
_symmetry_space_group_name_Hall '-P 4 2'
loop_
_atom_site_label
_atom_site_type_symbol
_atom_site_fract_x
_atom_site_fract_y
_atom_site_fract_z
K1 K 0.0000 0.0000 0.0000
Rb1 Rb 0.5000 0.5000 0.5000
As1 As 0.5000 0.5000 0.0000
Se1 Se 0.0000 0.5000 0.5000

---

# CePrTeI | the Alexandria database | PBE | optimized geometry
# Uncorrected formation energy, kJ/mol of atoms: -102.28
data_CePrTeI
_chemical_formula_sum 'Ce4 Pr4 Te4 I4'
_cell_length_a 7.7837
_cell_length_b 7.7837
_cell_length_c 7.7837
_cell_angle_alpha 90.00
_cell_angle_beta 90.00
_cell_angle_gamma 90.00
_symmetry_space_group_name_H-M 'F -4 3 m'
_symmetry_Int_Tables_number 216
_symmetry_space_group_name_Hall 'F -4 2 3'
loop_
_atom_site_label
_atom_site_type_symbol
_atom_site_fract_x
_atom_site_fract_y
_atom_site_fract_z
Ce1 Ce 0.0000 0.0000 0.0000
Pr1 Pr 0.0000 0.0000 0.5000
Te1 Te 0.2500 0.2500 0.2500
I1 I 0.2500 0.2500 0.7500

---

# Ca2Ac3Sm | the Alexandria database | PBE | optimized geometry
# Formation enthalpy at 0 K, eV/atom: 0.073
data_Ca2Ac3Sm
_chemical_formula_sum 'Ca8 Ac12 Sm4'
_cell_length_a 7.5595
_cell_length_b 12.4035
_cell_length_c 10.6358
_cell_angle_alpha 90.00
_cell_angle_beta 90.81
_cell_angle_gamma 90.00
_symmetry_space_group_name_H-M 'C 1 2/c 1'
_symmetry_Int_Tables_number 15
_symmetry_space_group_name_Hall '-C 2yc'
loop_
_atom_site_label
_atom_site_type_symbol
_atom_site_fract_x
_atom_site_fract_y
_atom_site_fract_z
Ca1 Ca 0.1739 0.1327 0.4221
Ac1 Ac 0.0000 0.1101 0.7500
Ac2 Ac 0.1702 0.3804 0.9131
Sm1 Sm 0.0000 0.3602 0.2500

---

# Sm3GaSn | the Alexandria database | PBE | optimized geometry
# Formation enthalpy at 0 K, eV/atom: -0.498
data_Sm3GaSn
_chemical_formula_sum 'Sm12 Ga4 Sn4'
_cell_length_a 9.6310
_cell_length_b 6.5272
_cell_length_c 9.7235
_cell_angle_alpha 90.00
_cell_angle_beta 104.61
_cell_angle_gamma 90.00
_symmetry_space_group_name_H-M 'P 1 21/c 1'
_symmetry_Int_Tables_number 14
_symmetry_space_group_name_Hall '-P 2ybc'
loop_
_atom_site_label
_atom_site_type_symbol
_atom_site_fract_x
_atom_site_fract_y
_atom_site_fract_z
Sm1 Sm 0.0004 0.0003 0.2501
Sm2 Sm 0.2239 0.2501 0.0560
Sm3 Sm 0.3850 0.7488 0.3462
Ga1 Ga 0.3954 0.2481 0.3488
Sn1 Sn 0.1486 0.7500 0.0372

---

# NaLa2MoN4 | the Alexandria database | PBE | optimized geometry
# Uncorrected formation energy, kJ/mol of atoms: -86.19
data_NaLa2MoN4
_chemical_formula_sum 'Na4 La8 Mo4 N16'
_cell_length_a 7.3279
_cell_length_b 9.7471
_cell_length_c 7.4224
_cell_angle_alpha 90.00
_cell_angle_beta 90.00
_cell_angle_gamma 90.00
_symmetry_space_group_name_H-M 'F m m 2'
_symmetry_Int_Tables_number 42
_symmetry_space_group_name_Hall 'F 2 -2'
loop_
_atom_site_label
_atom_site_type_symbol
_atom_site_fract_x
_atom_site_fract_y
_atom_site_fract_z
Na1 Na 0.0000 0.0000 0.0000
La1 La 0.2500 0.2500 0.2508
Mo1 Mo 0.0000 0.0000 0.4374
N1 N 0.0000 0.1959 0.5188
N2 N 0.2051 0.0000 0.2899

---

# Ge2HOF | the Alexandria database | PBE | optimized geometry
# Energy, eV/atom: -3.94
data_Ge2HOF
_chemical_formula_sum 'Ge2 H1 O1 F1'
_cell_length_a 4.1820
_cell_length_b 4.1820
_cell_length_c 3.3820
_cell_angle_alpha 90.00
_cell_angle_beta 90.00
_cell_angle_gamma 90.00
_symmetry_space_group_name_H-M 'P 4/m m m'
_symmetry_Int_Tables_number 123
_symmetry_space_group_name_Hall '-P 4 2'
loop_
_atom_site_label
_atom_site_type_symbol
_atom_site_fract_x
_atom_site_fract_y
_atom_site_fract_z
Ge1 Ge 0.0000 0.5000 0.0000
H1 H 0.0000 0.0000 0.0000
O1 O 0.0000 0.0000 0.5000
F1 F 0.5000 0.5000 0.5000

---

# CaLa2Mg | the Alexandria database | PBE | optimized geometry
# Formation enthalpy at 0 K, eV/atom: 0.012
data_CaLa2Mg
_chemical_formula_sum 'Ca1 La2 Mg1'
_cell_length_a 5.6864
_cell_length_b 5.6864
_cell_length_c 4.2946
_cell_angle_alpha 90.00
_cell_angle_beta 90.00
_cell_angle_gamma 90.00
_symmetry_space_group_name_H-M 'P 4/m m m'
_symmetry_Int_Tables_number 123
_symmetry_space_group_name_Hall '-P 4 2'
loop_
_atom_site_label
_atom_site_type_symbol
_atom_site_fract_x
_atom_site_fract_y
_atom_site_fract_z
Ca1 Ca 0.0000 0.0000 0.0000
La1 La 0.0000 0.5000 0.5000
Mg1 Mg 0.5000 0.5000 0.0000

---

# AlCrP2S | the Alexandria database | PBE | optimized geometry
# Uncorrected formation energy, kJ/mol of atoms: 34.45
# Excess energy over the best structure of this formula in the dataset, eV/atom: 0.000
data_AlCrP2S
_chemical_formula_sum 'Al1 Cr1 P2 S1'
_cell_length_a 4.2710
_cell_length_b 4.2710
_cell_length_c 5.1632
_cell_angle_alpha 90.00
_cell_angle_beta 90.00
_cell_angle_gamma 90.00
_symmetry_space_group_name_H-M 'P 4/m m m'
_symmetry_Int_Tables_number 123
_symmetry_space_group_name_Hall '-P 4 2'
loop_
_atom_site_label
_atom_site_type_symbol
_atom_site_fract_x
_atom_site_fract_y
_atom_site_fract_z
Al1 Al 0.0000 0.0000 0.0000
Cr1 Cr 0.5000 0.5000 0.5000
P1 P 0.0000 0.5000 0.5000
S1 S 0.5000 0.5000 0.0000

---

# Sr2Cd4Pb5 | the Alexandria database | PBE | optimized geometry
# Formation enthalpy at 0 K, eV/atom: -0.157
data_Sr2Cd4Pb5
_chemical_formula_sum 'Sr4 Cd8 Pb10'
_cell_length_a 14.2347
_cell_length_b 6.6543
_cell_length_c 9.6922
_cell_angle_alpha 90.00
_cell_angle_beta 131.55
_cell_angle_gamma 90.00
_symmetry_space_group_name_H-M 'C 1 2/m 1'
_symmetry_Int_Tables_number 12
_symmetry_space_group_name_Hall '-C 2y'
loop_
_atom_site_label
_atom_site_type_symbol
_atom_site_fract_x
_atom_site_fract_y
_atom_site_fract_z
Sr1 Sr 0.2035 0.0000 0.2077
Cd1 Cd 0.2449 0.0000 0.5932
Cd2 Cd 0.2460 0.0000 0.9053
Pb1 Pb 0.9997 0.2571 0.3134
Pb2 Pb 0.0000 0.5000 0.0000

---

# Th4CoRuS2 | the Alexandria database | PBE | optimized geometry
# Uncorrected formation energy, kJ/mol of atoms: -102.23
data_Th4CoRuS2
_chemical_formula_sum 'Th4 Co1 Ru1 S2'
_cell_length_a 6.9425
_cell_length_b 4.0115
_cell_length_c 7.4799
_cell_angle_alpha 90.00
_cell_angle_beta 107.98
_cell_angle_gamma 90.00
_symmetry_space_group_name_H-M 'P 1 2/m 1'
_symmetry_Int_Tables_number 10
_symmetry_space_group_name_Hall '-P 2y'
loop_
_atom_site_label
_atom_site_type_symbol
_atom_site_fract_x
_atom_site_fract_y
_atom_site_fract_z
Th1 Th 0.2372 0.0000 0.2196
Th2 Th 0.2535 0.5000 0.7755
Co1 Co 0.0000 0.5000 0.0000
Ru1 Ru 0.5000 0.0000 0.0000
S1 S 0.0000 0.0000 0.5000
S2 S 0.5000 0.5000 0.5000

---

Looking at V for the records above, in order, we have 31.5 29.6 52.2 29.5 41.5 29.6 16.6 11.8 34.7 18.8 31.2 24.8 Å³/atom.
Looking at spin magnetization for the records above, in order, we have 0.001 4.855 5.056 1.195 0.000 0.000 0.000 0.000 0.000 0.426 0.000 0.000 μB/f.u..